# PBE P, optimized geometry
# Formation enthalpy at 0 K: 0.0466 eV/atom
# E above lowest polymorph: 0.047 eV per atom
# SG: P-3m1 (164)
data_P
_symmetry_space_group_name_H-M 'P 1'
_symmetry_Int_Tables_number 1
_cell_length_a 3.278
_cell_length_b 3.278
_cell_length_c 5.567
_cell_angle_alpha 90.00
_cell_angle_beta 90.00
_cell_angle_gamma 120.00
loop_
_symmetry_equiv_pos_as_xyz
'x,y,z'
loop_
_atom_site_label
_atom_site_type_symbol
_atom_site_fract_x
_atom_site_fract_y
_atom_site_fract_z
_atom_site_occupancy
P1 P 0.333 0.667 0.611 1
P2 P 0.667 0.333 0.389 1